Entry from Alexandria via LeMat-Bulk: an optimized crystal structure of CaNi2As (GGA-PBE).

Output
- Total energy: -4.90 eV per atom

Cell lengths 4.577, 4.577, 8.470 Å; angles 74.32, 74.32, 90.00 degrees
Sites, in units of the cell vectors:
As (0.750, 0.250, 0.500)
As (0.000, 0.000, 0.000)
Ni (0.838, 0.125, 0.250)
Ni (0.875, 0.088, 0.750)
Ni (0.912, 0.625, 0.250)
Ni (0.375, 0.162, 0.750)
Ca (0.250, 0.750, 0.500)
Ca (0.500, 0.500, 0.000)

---

Entry from Alexandria via LeMat-Bulk: an optimized crystal structure of Ca2NiAs (GGA-PBE).

Output
- Total energy: -3.90 eV per atom

Cell lengths 4.218, 4.218, 7.524 Å; angles 80.32, 80.32, 46.67 degrees
Sites, in units of the cell vectors:
As (0.250, 0.250, 0.250)
Ca (0.500, 0.500, 0.503)
Ca (0.000, 0.000, 0.997)
Ni (0.750, 0.750, 0.750)

---

Entry from Alexandria via LeMat-Bulk: an optimized crystal structure of Ca2NiAs (GGA-PBE).

Output
- Total energy: -3.94 eV per atom

Cell lengths 5.783, 5.783, 5.783 Å; angles 137.54, 137.54, 61.61 degrees
Sites, in units of the cell vectors:
As (0.750, 0.250, 0.500)
Ca (0.000, 0.000, 0.000)
Ca (0.250, 0.750, 0.500)
Ni (0.500, 0.500, 0.000)

---

Entry from Alexandria via LeMat-Bulk: an optimized crystal structure of CaNiAs (GGA-PBE).

Output
- Total energy: -4.89 eV per atom

Cell lengths 4.112, 4.115, 6.747 Å; angles 90.01, 90.00, 90.00 degrees
Sites, in units of the cell vectors:
Ni (0.813, 0.367, 0.920)
Ni (0.314, 0.866, 0.920)
As (0.313, 0.366, 0.720)
As (0.814, 0.867, 0.119)
Ca (0.314, 0.367, 0.237)
Ca (0.813, 0.866, 0.602)

---

Entry from Alexandria via LeMat-Bulk: an optimized crystal structure of CaNi2As (GGA-PBE).

Output
- Total energy: -4.88 eV per atom

Cell lengths 3.829, 3.829, 4.991 Å; angles 89.99, 90.00, 90.00 degrees
Sites, in units of the cell vectors:
Ni (0.500, 0.375, 0.178)
Ni (0.000, 0.875, 0.178)
Ca (0.500, 0.875, 0.717)
As (0.000, 0.375, 0.427)

---

Entry from Alexandria via LeMat-Bulk: an optimized crystal structure of CaNiAs2 (GGA-PBE).

Output
- Total energy: -4.46 eV per atom

Cell lengths 3.157, 3.157, 8.445 Å; angles 90.00, 90.00, 89.99 degrees
Sites, in units of the cell vectors:
As (0.500, 0.500, 0.280)
As (0.000, 0.000, 0.901)
Ni (0.500, 0.500, 0.792)
Ca (0.000, 0.000, 0.527)

---

Entry from Alexandria via LeMat-Bulk: an optimized crystal structure of CaNiAs2 (GGA-PBE).

Output
- Total energy: -4.72 eV per atom

Cell lengths 4.803, 4.803, 8.468 Å; angles 73.52, 73.52, 90.00 degrees
Sites, in units of the cell vectors:
Ca (0.250, 0.750, 0.500)
Ca (0.500, 0.500, 0.000)
As (0.761, 0.125, 0.250)
As (0.375, 0.239, 0.750)
As (0.989, 0.625, 0.250)
As (0.875, 0.011, 0.750)
Ni (0.750, 0.250, 0.500)
Ni (0.000, 0.000, 0.000)

---

Entry from Alexandria via LeMat-Bulk: an optimized crystal structure of CaNiAs2 (GGA-PBE).

Output
- Total energy: -4.70 eV per atom

Cell lengths 5.478, 5.478, 4.599 Å; angles 74.77, 74.77, 41.16 degrees
Sites, in units of the cell vectors:
Ca (0.520, 0.520, 0.501)
Ni (0.300, 0.300, 0.082)
As (0.950, 0.950, 0.035)
As (0.730, 0.730, 0.882)

---

Entry from Alexandria via LeMat-Bulk: an optimized crystal structure of CaNiAs2 (GGA-PBE).

Output
- Total energy: -4.86 eV per atom

Cell lengths 3.859, 4.550, 4.738 Å; angles 80.77, 90.00, 90.00 degrees
Sites, in units of the cell vectors:
Ca (0.500, 0.250, 0.250)
As (0.000, 0.888, 0.985)
As (0.000, 0.612, 0.515)
Ni (0.500, 0.750, 0.750)

---

Entry from Alexandria via LeMat-Bulk: an optimized crystal structure of CaNiAs2 (GGA-PBE).

Output
- Total energy: -4.76 eV per atom

Cell lengths 4.964, 4.964, 4.964 Å; angles 132.93, 106.87, 91.65 degrees
Sites, in units of the cell vectors:
As (0.065, 0.065, 0.000)
As (0.435, 0.435, 0.000)
Ca (0.750, 0.250, 0.500)
Ni (0.250, 0.750, 0.500)

---

Entry from Alexandria via LeMat-Bulk: an optimized crystal structure of Ca2NiAs (GGA-PBE).

Output
- Total energy: -3.86 eV per atom

Cell lengths 7.753, 7.753, 7.753 Å; angles 29.79, 29.79, 29.79 degrees
Last column: magnetic moment on the atom in μB.
Sites, in units of the cell vectors:
Ca (0.500, 0.500, 0.500)  -0.01
Ca (0.000, 0.000, 0.000)  -0.01
As (0.750, 0.750, 0.750)  0.04
Ni (0.250, 0.250, 0.250)  0.37

---

Entry from Alexandria via LeMat-Bulk: an optimized crystal structure of Ca2Ni5As4 (GGA-PBE).

Output
- Total energy: -5.20 eV per atom

Cell lengths 5.426, 5.630, 7.412 Å; angles 79.84, 68.53, 61.19 degrees
Sites, in units of the cell vectors:
Ni (0.250, 0.500, 0.500)
Ni (0.750, 0.500, 0.500)
Ni (0.000, 0.500, 0.000)
Ni (0.500, 0.500, 0.000)
Ni (0.500, 0.000, 0.000)
Ca (0.138, 0.000, 0.724)
Ca (0.862, 0.000, 0.276)
As (0.470, 0.315, 0.745)
As (0.215, 0.315, 0.255)
As (0.530, 0.685, 0.255)
As (0.785, 0.685, 0.745)

---

Number 1: ΔE_f -351.5 meV per atom, DOS(E_F) 1.89 states/eV/f.u., total magnetic moment 0.0 μB/f.u.. Number 2: ΔE_f -294.1 meV per atom, DOS(E_F) 1.33 states/eV/f.u., total magnetic moment 0.0 μB/f.u.. Number 3: ΔE_f -333.8 meV per atom, DOS(E_F) 3.28 states/eV/f.u., total magnetic moment 0.0 μB/f.u.. Number 4: ΔE_f -747.4 meV per atom, DOS(E_F) 3.41 states/eV/f.u., total magnetic moment 0.0 μB/f.u.. Number 5: ΔE_f -327.5 meV per atom, DOS(E_F) 2.76 states/eV/f.u., total magnetic moment 0.0 μB/f.u.. Number 6: ΔE_f -192.6 meV per atom, DOS(E_F) 1.34 states/eV/f.u., total magnetic moment 0.0 μB/f.u.. Number 7: ΔE_f -452.2 meV per atom, DOS(E_F) 0.31 states/eV/f.u., total magnetic moment 0.0 μB/f.u.. Number 8: ΔE_f -431.2 meV per atom, DOS(E_F) 2.85 states/eV/f.u., total magnetic moment 0.0 μB/f.u.. Number 9: ΔE_f -590.9 meV per atom, DOS(E_F) 1.09 states/eV/f.u., total magnetic moment 0.0 μB/f.u.. Number 10: ΔE_f -489.6 meV per atom, DOS(E_F) 2.93 states/eV/f.u., total magnetic moment 0.0 μB/f.u.. Number 11: ΔE_f -248.7 meV per atom, DOS(E_F) 5.10 states/eV/f.u., total magnetic moment 0.4 μB/f.u.. Number 12: ΔE_f -517.4 meV per atom, DOS(E_F) 5.64 states/eV/f.u., total magnetic moment 0.0 μB/f.u..